(1)
The following is a PBE calculation of crystalline Na4Pt3AuO8 at its relaxed geometry, from Alexandria.

Summary:
Formation energy without anion corrections   -0.873 eV/atom
Crystal system   monoclinic
Volume   207 Å³/cell
Space group   C2/m (12)
Final energy   -5.019 eV/atom
DOS(E_F)   0.14 states/eV per atom

Cell lengths 6.305, 6.090, 7.191 Å; angles 119.59, 116.00, 90.00 degrees
Element x y z (fractional)
Na 0.500 0.000 0.000
Na 0.500 0.000 0.500
Na 0.000 0.000 0.000
Na 0.000 0.000 0.500
Pt 0.500 0.500 0.000
Pt 0.500 0.500 0.500
Pt 0.000 0.500 0.500
Au 0.000 0.500 0.000
O 0.201 0.628 0.871
O 0.279 0.747 0.558
O 0.209 0.245 0.419
O 0.671 0.628 0.871
O 0.329 0.372 0.129
O 0.791 0.755 0.581
O 0.721 0.253 0.442
O 0.799 0.372 0.129

---

(2)
The following is a PBE calculation of crystalline Zn2HgTe at its relaxed geometry, from Alexandria.

Summary:
Polymorph energy (0 for the lowest one)   167 meV/atom
Formation energy without anion corrections   0.144 eV/atom
Crystal system   tetragonal
Volume   92 Å³/cell
Space group   P4mm (99)
Final energy   -1.354 eV/atom
DOS(E_F)   0.29 states/eV per atom

Cell lengths 3.206, 3.206, 8.924 Å; angles 90.00, 90.00, 90.00 degrees
Element x y z (fractional)
Hg 0.000 0.000 0.445
Te 0.500 0.500 0.788
Zn 0.000 0.000 0.056
Zn 0.500 0.500 0.211

---

(3)
The following is a PBE calculation of crystalline Th2SbSe2 at its relaxed geometry, from Alexandria.

Summary:
Polymorph energy (0 for the lowest one)   163 meV/atom
Formation energy without anion corrections   -1.175 eV/atom
Crystal system   orthorhombic
Volume   309 Å³/cell
Space group   Imma (74)
Final energy   -6.361 eV/atom
DOS(E_F)   0.22 states/eV per atom

Cell lengths 7.910, 7.910, 5.934 Å; angles 112.05, 112.05, 94.11 degrees
Element x y z (fractional)
Th 0.395 0.605 0.250
Th 0.837 0.163 0.250
Th 0.163 0.837 0.750
Th 0.605 0.395 0.750
Sb 0.123 0.877 0.250
Sb 0.877 0.123 0.750
Se 0.785 0.564 0.425
Se 0.436 0.215 0.075
Se 0.564 0.785 0.925
Se 0.215 0.436 0.575

---

(4)
The following is a PBE calculation of crystalline TiHgSe2 at its relaxed geometry, from Alexandria.

Summary:
Formation energy without anion corrections   -0.562 eV/atom
Crystal system   tetragonal
Volume   274 Å³/cell
Space group   I-42d (122)
Final energy   -4.353 eV/atom
DOS(E_F)   0.00 states/eV per atom

Cell lengths 7.267, 7.267, 7.305 Å; angles 60.17, 60.17, 90.00 degrees
Element x y z (fractional)
Hg 0.000 0.000 0.000
Hg 0.750 0.250 0.500
Se 0.495 0.125 0.250
Se 0.255 0.625 0.250
Se 0.375 0.505 0.750
Se 0.875 0.745 0.750
Ti 0.500 0.500 0.000
Ti 0.250 0.750 0.500

---

(5)
The following is a PBE calculation of crystalline ScGaNi at its relaxed geometry, from Alexandria.

Summary:
Crystal system   tetragonal
Volume   47 Å³/cell
Space group   I4mm (107)
Final energy   -5.550 eV/atom
Formation energy   -504 meV per atom
DOS(E_F)   0.68 states/eV per atom

Cell lengths 3.092, 3.092, 5.400 Å; angles 106.64, 106.64, 90.00 degrees
Element x y z (fractional)
Sc 0.608 0.608 0.215
Ni 0.934 0.934 0.869
Ga 0.308 0.308 0.616

---

(6)
The following is a PBE calculation of crystalline In2FeOs at its relaxed geometry, from Alexandria.

Summary:
Polymorph energy (0 for the lowest one)   194 meV/atom
Crystal system   trigonal
Volume   69 Å³/cell
Space group   R-3m (166)
Final energy   -5.769 eV/atom
Formation energy   524 meV per atom
DOS(E_F)   0.81 states/eV per atom

Cell lengths 8.972, 8.972, 8.972 Å; angles 19.29, 19.29, 19.29 degrees
Element x y z (fractional)
Fe 0.750 0.750 0.750
In 0.001 0.001 0.001
In 0.499 0.499 0.499
Os 0.250 0.250 0.250

---

(7)
The following is a PBE calculation of crystalline TaSCl2 at its relaxed geometry, from Alexandria.

Summary:
Polymorph energy (0 for the lowest one)   0 meV/atom
Formation energy without anion corrections   -1.016 eV/atom
Crystal system   orthorhombic
Volume   432 Å³/cell
Space group   Pnna (52)
Final energy   -5.934 eV/atom
DOS(E_F)   0.38 states/eV per atom

Cell lengths 6.285, 6.338, 10.853 Å; angles 90.00, 90.00, 90.00 degrees
Element x y z (fractional)
Ta 0.000 0.250 0.607
Ta 0.000 0.750 0.393
Ta 0.500 0.250 0.893
Ta 0.500 0.750 0.107
S 0.250 0.643 0.250
S 0.750 0.357 0.750
S 0.750 0.857 0.250
S 0.250 0.143 0.750
Cl 0.709 0.925 0.930
Cl 0.291 0.075 0.070
Cl 0.209 0.575 0.570
Cl 0.791 0.425 0.430
Cl 0.709 0.425 0.070
Cl 0.291 0.575 0.930
Cl 0.209 0.075 0.430
Cl 0.791 0.925 0.570

---

(8)
The following is a PBE calculation of crystalline AsOsPdF2 at its relaxed geometry, from Alexandria.

Summary:
Formation energy without anion corrections   0.080 eV/atom
Crystal system   tetragonal
Volume   83 Å³/cell
Space group   P4/mmm (123)
Final energy   -4.883 eV/atom
DOS(E_F)   0.60 states/eV per atom

Cell lengths 3.974, 5.278, 3.974 Å; angles 90.00, 90.00, 90.00 degrees
Element x y z (fractional)
As 0.000 0.000 0.000
Os 0.500 0.500 0.500
Pd 0.000 0.500 0.000
F 0.000 0.000 0.500
F 0.500 0.000 0.000

---

(9)
The following is a PBE calculation of crystalline GaRuAu3 at its relaxed geometry, from Alexandria.

Summary:
Polymorph energy (0 for the lowest one)   0 meV/atom
Crystal system   cubic
Volume   132 Å³/cell
Space group   Pm-3m (221)
Final energy   -3.518 eV/atom
Formation energy   909 meV per atom
DOS(E_F)   0.55 states/eV per atom

Cell lengths 5.086, 5.086, 5.086 Å; angles 90.00, 90.00, 90.00 degrees
Element x y z (fractional)
Ru 0.000 0.000 0.000
Au 0.000 0.500 0.000
Au 0.000 0.000 0.500
Au 0.500 0.000 0.000
Ga 0.500 0.500 0.500

---

(10)
The following is a PBE calculation of crystalline Er3Si5Ni6 at its relaxed geometry, from Alexandria.

Summary:
Formation energy without anion corrections   -0.777 eV/atom
Crystal system   orthorhombic
Volume   420 Å³/cell
Space group   Pmmn (59)
Final energy   -6.169 eV/atom
DOS(E_F)   0.68 states/eV per atom

Cell lengths 3.891, 9.149, 11.789 Å; angles 90.00, 90.00, 90.00 degrees
Element x y z (fractional)
Er 0.000 0.246 0.667
Er 0.500 0.754 0.167
Er 0.500 0.754 0.833
Er 0.000 0.248 0.000
Er 0.500 0.752 0.500
Er 0.000 0.246 0.333
Si 0.000 0.523 0.885
Si 0.000 0.856 0.668
Si 0.000 0.870 0.000
Si 0.500 0.477 0.615
Si 0.500 0.130 0.500
Si 0.000 0.523 0.115
Si 0.500 0.477 0.385
Si 0.000 0.856 0.332
Si 0.500 0.144 0.832
Si 0.500 0.144 0.168
Ni 0.000 0.005 0.831
Ni 0.500 0.995 0.669
Ni 0.500 0.409 0.805
Ni 0.500 0.504 0.000
Ni 0.000 0.496 0.500
Ni 0.000 0.591 0.695
Ni 0.000 0.591 0.305
Ni 0.500 0.008 0.000
Ni 0.000 0.005 0.169
Ni 0.500 0.409 0.195
Ni 0.000 0.992 0.500
Ni 0.500 0.995 0.331

---

(11)
The following is a PBE calculation of crystalline K2AuS at its relaxed geometry, from Alexandria.

Summary:
Formation energy without anion corrections   -0.533 eV/atom
Crystal system   tetragonal
Volume   355 Å³/cell
Space group   I-42d (122)
Final energy   -2.933 eV/atom
DOS(E_F)   0.22 states/eV per atom

Cell lengths 11.884, 11.884, 8.771 Å; angles 47.36, 47.36, 90.00 degrees
Element x y z (fractional)
K 0.410 0.125 0.250
K 0.340 0.625 0.250
K 0.375 0.590 0.750
K 0.875 0.660 0.750
Au 0.000 0.000 0.000
Au 0.750 0.250 0.500
S 0.500 0.500 0.000
S 0.250 0.750 0.500

---

(12)
The following is a PBE calculation of crystalline Pm2NdEr at its relaxed geometry, from Alexandria.

Summary:
Polymorph energy (0 for the lowest one)   1 meV/atom
Crystal system   trigonal
Volume   134 Å³/cell
Space group   R-3m (166)
Final energy   -4.691 eV/atom
Formation energy   17 meV per atom
DOS(E_F)   1.27 states/eV per atom

Cell lengths 3.623, 3.623, 11.985 Å; angles 81.31, 81.31, 60.00 degrees
Element x y z (fractional)
Pm 0.748 0.748 0.755
Pm 0.252 0.252 0.245
Nd 0.500 0.500 0.500
Er 0.000 0.000 0.000